VRu5: optimized geometry, PBE.

POSCAR file:
```
VRu5
1.0
-4.099 -1.733 0.342
0.431 -1.819 -4.058
3.700 -2.664 1.587
Ru V
5 1
direct
0.319 0.000 0.630 Ru
0.133 0.500 0.269 Ru
0.625 0.000 0.259 Ru
0.811 0.500 0.620 Ru
0.472 0.500 0.944 Ru
0.972 0.000 0.944 V
```

For the formation energy from the elements, the calculation gives 0.31 eV per atom. Its symmetry is P2/m, No. 10. Its calculated total energy is -0.657 Ry per atom.



VRu: optimized geometry, PBE.

POSCAR file:
```
VRu
1.0
-3.279 3.598 5.483
-6.547 -1.446 -2.967
-0.375 -6.223 3.860
V Ru
8 8
direct
0.809 0.809 0.191 V
0.191 0.191 0.191 V
0.309 0.309 0.691 V
0.691 0.691 0.691 V
0.191 0.809 0.809 V
0.809 0.191 0.809 V
0.691 0.309 0.309 V
0.309 0.691 0.309 V
0.136 0.864 0.136 Ru
0.864 0.864 0.864 Ru
0.864 0.136 0.136 Ru
0.636 0.636 0.364 Ru
0.636 0.364 0.636 Ru
0.364 0.636 0.636 Ru
0.364 0.364 0.364 Ru
0.136 0.136 0.864 Ru
```

For the formation energy from the elements, the calculation gives 1.35 eV per atom. Its symmetry is I-43m, No. 217. Its calculated total energy is -0.577 Ry per atom.